(1)
Ce2TaNbN5: optimized geometry, PBE.

Unit cell a=3.3635 b=6.9015 c=10.4819 alpha=90.00 beta=90.00 gamma=104.10
Element x y z (fractional)
N (0.6850, 0.3701, 0.8803)
N (0.4911, 0.9822, 0.7796)
Nb (0.4721, 0.9442, 0.4649)
Ce (0.1457, 0.2914, 0.2905)
N (0.9440, 0.8879, 0.5625)
N (0.6302, 0.2603, 0.5005)
Nb (0.5279, 0.0558, 0.9649)
N (0.0560, 0.1121, 0.0625)
Ce (0.8916, 0.7832, 0.1894)
Ta (0.7814, 0.5628, 0.5093)
N (0.5089, 0.0178, 0.2796)
N (0.2777, 0.5554, 0.6470)
N (0.3150, 0.6299, 0.3803)
N (0.3698, 0.7397, 0.0005)
Ce (0.1084, 0.2168, 0.6894)
N (0.7223, 0.4446, 0.1470)
Ta (0.2186, 0.4372, 0.0093)
Ce (0.8543, 0.7086, 0.7905)



(2)
TbCe2NbN5: optimized geometry, PBE.

Unit cell a=3.5851 b=6.9427 c=11.3788 alpha=90.00 beta=90.00 gamma=104.96
Element x y z (fractional)
Tb (0.7286, 0.4572, 0.4804)
N (0.4238, 0.8475, 0.1095)
Nb (0.5169, 0.0339, 0.9804)
N (0.4237, 0.8474, 0.8514)
N (0.7289, 0.4579, 0.1266)
N (0.2711, 0.5422, 0.3343)
N (0.5762, 0.1525, 0.6095)
Ce (0.1347, 0.2694, 0.2237)
Nb (0.4831, 0.9661, 0.4804)
Ce (0.8653, 0.7306, 0.2372)
N (0.5763, 0.1526, 0.3514)
N (0.7289, 0.4578, 0.8343)
Ce (0.1347, 0.2694, 0.7372)
Tb (0.2714, 0.5428, 0.9804)
N (0.2711, 0.5421, 0.6266)
Ce (0.8653, 0.7306, 0.7237)
N (0.9126, 0.8252, 0.4804)
N (0.0874, 0.1748, 0.9804)



(3)
Tb2CeNbN4: optimized geometry, PBE.

Unit cell a=3.4144 b=6.2154 c=12.1782 alpha=90.00 beta=90.00 gamma=105.94
Element x y z (fractional)
Nb (0.1597, 0.3193, 0.2500)
Tb (0.6296, 0.2592, 0.4648)
N (0.2622, 0.5245, 0.3767)
N (0.7378, 0.4755, 0.8767)
Nb (0.8403, 0.6807, 0.7500)
Tb (0.3704, 0.7408, 0.5352)
N (0.2622, 0.5245, 0.1233)
N (0.4506, 0.9012, 0.7500)
N (0.5494, 0.0988, 0.2500)
N (0.0000, 0.0000, 0.0000)
N (0.0000, 0.0000, 0.5000)
Tb (0.3704, 0.7408, 0.9648)
N (0.7378, 0.4755, 0.6233)
Ce (0.1034, 0.2067, 0.7500)
Tb (0.6296, 0.2592, 0.0352)
Ce (0.8966, 0.7933, 0.2500)



(4)
Ce2NbTcN5: optimized geometry, PBE.

Unit cell a=3.3100 b=6.8044 c=10.3549 alpha=90.00 beta=90.00 gamma=104.08
Element x y z (fractional)
Nb (0.2075, 0.4150, 0.0076)
Tc (0.5305, 0.0610, 0.9613)
N (0.3668, 0.7336, 0.0001)
Ce (0.1103, 0.2207, 0.6874)
N (0.4894, 0.9788, 0.7818)
N (0.6332, 0.2664, 0.5001)
Ce (0.8547, 0.7094, 0.7999)
N (0.5106, 0.0212, 0.2818)
Ce (0.1453, 0.2905, 0.2999)
N (0.3186, 0.6372, 0.3702)
Nb (0.7925, 0.5850, 0.5076)
N (0.2814, 0.5628, 0.6525)
N (0.9503, 0.9007, 0.5632)
Tc (0.4695, 0.9390, 0.4613)
N (0.6814, 0.3628, 0.8702)
Ce (0.8897, 0.7793, 0.1874)
N (0.7186, 0.4372, 0.1525)
N (0.0497, 0.0993, 0.0632)



E_form (uncorrected)
In order: -1.2856 -1.3294 -1.2455 -1.0366
Unit: eV per atom
Ρ
In order: 8.78 7.31 8.11 7.94
Unit: g/cm3